Entry 1:
A relaxed LaTbRh crystal, computed with PBE.

Geometry as POSCAR:
```
LaTbRh
1.0
-2.150 6.218 -1.400
-6.474 -1.226 -3.581
-5.535 1.021 4.956
La Rh Tb
4 4 4
direct
0.215 0.159 0.409 La
0.215 0.659 0.909 La
0.785 0.341 0.091 La
0.785 0.841 0.591 La
0.044 0.961 0.211 Rh
0.956 0.539 0.289 Rh
0.044 0.461 0.711 Rh
0.956 0.039 0.789 Rh
0.708 0.863 0.113 Tb
0.292 0.637 0.387 Tb
0.708 0.363 0.613 Tb
0.292 0.137 0.887 Tb
```

E = -74.11 eV for the cell shown
magnetic moment = 0.000 μB/cell
relative energy among the computed polymorphs = 0.046 eV/atom
energy of formation from the pure elements = -0.539 eV/atom

=====

Entry 2:
A relaxed ScFeCo2B crystal, computed with PBE.

Geometry as POSCAR:
```
ScFeCo2B
1.0
-2.258 3.126 -0.302
-2.315 -1.909 -2.442
-2.135 -1.252 3.003
Fe Co B Sc
1 2 1 1
direct
0.000 0.000 0.500 Fe
0.000 0.500 0.000 Co
0.500 0.000 0.000 Co
0.000 0.000 0.000 B
0.500 0.500 0.500 Sc
```

E = -37.23 eV for the cell shown
magnetic moment = 1.981 μB/cell
energy of formation from the pure elements = -0.309 eV/atom

=====

Entry 3:
A relaxed YNi2Hg crystal, computed with PBE.

Geometry as POSCAR:
```
YNi2Hg
1.0
-1.661 3.930 1.073
-1.795 -1.746 3.618
2.987 0.764 1.860
Ni Y Hg
2 1 1
direct
0.500 0.500 0.000 Ni
0.000 0.000 0.000 Ni
0.500 0.000 0.500 Y
0.000 0.500 0.500 Hg
```

E = -18.87 eV for the cell shown
magnetic moment = 0.000 μB/cell
energy of formation from the pure elements = -0.135 eV/atom

=====

Entry 4:
A relaxed KSc2Cu crystal, computed with PBE.

Geometry as POSCAR:
```
KSc2Cu
1.0
-1.349 -2.652 -1.457
0.666 -1.820 2.695
-8.297 0.622 6.547
Sc K Cu
2 1 1
direct
0.000 0.597 0.403 Sc
0.000 0.903 0.097 Sc
0.500 0.750 0.750 K
0.500 0.250 0.250 Cu
```

E = -17.11 eV for the cell shown
magnetic moment = 0.000 μB/cell
relative energy among the computed polymorphs = 0.000 eV/atom
energy of formation from the pure elements = 0.188 eV/atom

=====

Entry 5:
A relaxed Na2Ac2Sn crystal, computed with PBE.

Geometry as POSCAR:
```
Na2Ac2Sn
1.0
-3.633 -2.282 0.571
2.148 -2.790 2.516
-1.551 8.266 6.770
Ac Sn Na
2 1 2
direct
0.417 0.417 0.834 Ac
0.583 0.583 0.166 Ac
0.000 0.000 0.000 Sn
0.750 0.250 0.500 Na
0.250 0.750 0.500 Na
```

E = -15.22 eV for the cell shown
magnetic moment = 0.000 μB/cell
energy of formation from the pure elements = -0.073 eV/atom

=====

Entry 6:
A relaxed RbSn2 crystal, computed with PBE.

Geometry as POSCAR:
```
RbSn2
1.0
-5.288 -3.618 -1.577
0.583 -6.525 -0.790
-2.630 -4.109 4.443
Rb Sn
2 4
direct
0.000 0.000 0.000 Rb
0.250 0.250 0.250 Rb
0.625 0.125 0.625 Sn
0.625 0.625 0.625 Sn
0.125 0.625 0.625 Sn
0.625 0.625 0.125 Sn
```

E = -18.55 eV for the cell shown
magnetic moment = 0.001 μB/cell
relative energy among the computed polymorphs = 0.096 eV/atom
energy of formation from the pure elements = -0.100 eV/atom

=====

Entry 7:
A relaxed Ba2YTc crystal, computed with PBE.

Geometry as POSCAR:
```
Ba2YTc
1.0
6.359 0.154 -0.118
-3.024 5.596 -0.118
0.073 0.126 3.690
Tc Ba Y
1 2 1
direct
0.500 0.000 0.500 Tc
0.500 0.500 0.000 Ba
0.000 0.000 0.000 Ba
0.000 0.500 0.500 Y
```

E = -16.97 eV for the cell shown
magnetic moment = 1.373 μB/cell
relative energy among the computed polymorphs = 0.537 eV/atom
energy of formation from the pure elements = 0.927 eV/atom

=====

Entry 8:
A relaxed TiSn3Sb crystal, computed with PBE.

Geometry as POSCAR:
```
TiSn3Sb
1.0
-4.157 -2.989 1.479
2.548 -4.372 -1.671
2.151 -0.596 4.839
Ti Sn Sb
1 3 1
direct
0.000 0.000 0.000 Ti
0.000 0.000 0.500 Sn
0.500 0.000 0.000 Sn
0.000 0.500 0.000 Sn
0.500 0.500 0.500 Sb
```

E = -22.31 eV for the cell shown
formation energy (no corrections) = 0.34 eV per atom
magnetic moment = 0.000 μB/cell
relative energy among the computed polymorphs = 0.000 eV/atom